Here is TaTcOs after structural relaxation from Alexandria via LeMat-Bulk. Energies are from PBE.

Properties
As for the energy above the most stable polymorph in this dataset: 271 meV/atom. For the energy relative to the elements, the calculation gives 0.187 eV per atom. As for the crystal system: tetragonal.

abc: 3.957 3.957 12.764
angles: 90.00 90.00 90.00
Space group I4/mmm (No. 139)
Unique sites:
Ta 0.000 0.000 0.141 (multiplicity 4)
Tc 0.000 0.000 0.344 (multiplicity 4)
Os 0.000 0.500 0.000 (multiplicity 4)